Entry 1:
VASP calculation (GGA-PBE) on crystalline Cr2Ir4Rh5 at its relaxed geometry.

The value obtained for the size of the total moment is 0.00 μB/cell. For the energy above the most stable polymorph in this dataset, the calculation gives 0 meV per atom. Its formation energy is -33 meV/atom.

The structure belongs to space group P2/m (No. 10); the cell edges are 6.768, 2.698 and 8.545 Å and the angles 90.00°, 94.32° and 90.00°. The asymmetric unit holds Cr at (0.065, 0.000, 0.129), Ir at (0.186, 0.500, 0.376), Ir at (0.258, 0.500, 0.931), Rh at (0.164, 0.000, 0.655), Rh at (0.431, 0.000, 0.187) and Rh at (0.500, 0.000, 0.500).



Entry 2:
VASP calculation (GGA-PBE) on crystalline CrSbIr2Rh at its relaxed geometry.

The value obtained for the size of the total moment is 0.00 μB/cell. For the total DFT energy (no corrections), the calculation gives -6.57 eV/atom.

The structure belongs to space group P4/mmm (No. 123); the cell edges are 4.458, 4.458 and 4.776 Å and the angles 90.00°, 90.00° and 90.00°. The asymmetric unit holds Cr at (0.000, 0.000, 0.000), Sb at (0.000, 0.000, 0.500), Ir at (0.000, 0.500, 0.000) and Rh at (0.500, 0.500, 0.500).



Entry 3:
VASP calculation (GGA-PBE) on crystalline Sc2CrIrRh at its relaxed geometry.

The value obtained for the size of the total moment is 3.16 μB/cell. Its formation energy is 425 meV/atom.

The structure belongs to space group P4/mmm (No. 123); the cell edges are 4.857, 4.857 and 4.493 Å and the angles 90.00°, 90.00° and 90.00°. The asymmetric unit holds Sc at (0.000, 0.500, 0.000), Cr at (0.000, 0.000, 0.500), Ir at (0.500, 0.500, 0.500) and Rh at (0.000, 0.000, 0.000).



Entry 4:
VASP calculation (GGA-PBE) on crystalline CrSn2IrRh at its relaxed geometry.

The value obtained for the size of the total moment is 2.06 μB/cell. Its formation energy is 1059 meV/atom.

The structure belongs to space group P4/mmm (No. 123); the cell edges are 4.922, 4.922 and 4.357 Å and the angles 90.00°, 90.00° and 90.00°. The asymmetric unit holds Cr at (0.000, 0.000, 0.000), Sn at (0.000, 0.500, 0.000), Ir at (0.500, 0.500, 0.500) and Rh at (0.000, 0.000, 0.500).



Entry 5:
VASP calculation (GGA-PBE) on crystalline TiCrIrRh at its relaxed geometry.

The value obtained for the size of the total moment is 16.02 μB/cell. Its formation energy is -408 meV/atom.

The structure belongs to space group F-43m (No. 216); the cell edges are 6.164, 6.164 and 6.164 Å and the angles 90.00°, 90.00° and 90.00°. The asymmetric unit holds Ti at (0.000, 0.000, 0.000), Cr at (0.000, 0.000, 0.500), Ir at (0.250, 0.250, 0.750) and Rh at (0.250, 0.250, 0.250).



Entry 6:
VASP calculation (GGA-PBE) on crystalline VCr2IrRh5 at its relaxed geometry.

The value obtained for the size of the total moment is 4.78 μB/cell. Its formation energy is 290 meV/atom.

The structure belongs to space group I4/mcm (No. 140); the cell edges are 6.932, 6.932 and 10.894 Å and the angles 90.00°, 90.00° and 90.00°. The asymmetric unit holds V at (0.000, 0.000, 0.250), Cr at (0.100, 0.400, 0.000), Ir at (0.000, 0.500, 0.250), Rh at (0.000, 0.000, 0.000) and Rh at (0.216, 0.284, 0.369).



Entry 7:
VASP calculation (GGA-PBE) on crystalline V2CrIr5Rh at its relaxed geometry.

The value obtained for the size of the total moment is 11.83 μB/cell. Its formation energy is 267 meV/atom.

The structure belongs to space group I4/mcm (No. 140); the cell edges are 7.073, 7.073 and 10.898 Å and the angles 90.00°, 90.00° and 90.00°. The asymmetric unit holds V at (0.108, 0.392, 0.000), Cr at (0.000, 0.000, 0.250), Ir at (0.000, 0.000, 0.000), Ir at (0.211, 0.289, 0.370) and Rh at (0.000, 0.500, 0.250).



Entry 8:
VASP calculation (GGA-PBE) on crystalline CrIrRhW2 at its relaxed geometry.

The value obtained for the size of the total moment is 0.00 μB/cell. For the energy above the most stable polymorph in this dataset, the calculation gives 0 meV per atom. Its formation energy is 1389 meV/atom.

The structure belongs to space group P4/mmm (No. 123); the cell edges are 4.429, 4.429 and 4.433 Å and the angles 90.00°, 90.00° and 90.00°. The asymmetric unit holds Cr at (0.000, 0.000, 0.000), Ir at (0.000, 0.000, 0.500), Rh at (0.500, 0.500, 0.500) and W at (0.000, 0.500, 0.000).